# 1
Below is a relaxed SrHSeBr2 crystal, with properties calculated at the PBE level.

Space group: No. 123
DOS(E_F) in states/eV per atom: 0.769
Size of the total moment in μB per cell: 0.26
Total energy in eV/atom: -3.011

Structure (CIF):
```
data_SrHSeBr2
_cell_length_a 5.458
_cell_length_b 5.458
_cell_length_c 3.844
_cell_angle_alpha 90.00
_cell_angle_beta 90.00
_cell_angle_gamma 90.00
_symmetry_space_group_name_H-M 'P 1'
_symmetry_Int_Tables_number 1
_symmetry_space_group_name_Hall 'P 1'
loop_
_atom_site_label
_atom_site_type_symbol
_atom_site_fract_x
_atom_site_fract_y
_atom_site_fract_z
_atom_site_occupancy
Sr1 Sr 0.000 0.000 0.000 1
H1 H 0.500 0.500 0.500 1
Se1 Se 0.500 0.500 0.000 1
Br1 Br 0.000 0.500 0.500 1
Br2 Br 0.500 0.000 0.500 1
```

***

# 2
Below is a relaxed SrHSe2Br crystal, with properties calculated at the PBE level.

Space group: No. 123
DOS(E_F) in states/eV per atom: 0.217
Size of the total moment in μB per cell: 0.00
Total energy in eV/atom: -3.387

Structure (CIF):
```
data_SrHSe2Br
_cell_length_a 4.255
_cell_length_b 4.255
_cell_length_c 6.078
_cell_angle_alpha 90.00
_cell_angle_beta 90.00
_cell_angle_gamma 90.00
_symmetry_space_group_name_H-M 'P 1'
_symmetry_Int_Tables_number 1
_symmetry_space_group_name_Hall 'P 1'
loop_
_atom_site_label
_atom_site_type_symbol
_atom_site_fract_x
_atom_site_fract_y
_atom_site_fract_z
_atom_site_occupancy
Sr1 Sr 0.000 0.000 0.000 1
H1 H 0.500 0.500 0.500 1
Se1 Se 0.000 0.500 0.500 1
Se2 Se 0.500 0.000 0.500 1
Br1 Br 0.500 0.500 0.000 1
```

***

# 3
Below is a relaxed SrHSe2Br crystal, with properties calculated at the PBE level.

Space group: No. 123
DOS(E_F) in states/eV per atom: 0.468
Size of the total moment in μB per cell: 4.00
Total energy in eV/atom: -2.600

Structure (CIF):
```
data_SrHSe2Br
_cell_length_a 6.210
_cell_length_b 6.210
_cell_length_c 5.957
_cell_angle_alpha 90.00
_cell_angle_beta 90.00
_cell_angle_gamma 90.00
_symmetry_space_group_name_H-M 'P 1'
_symmetry_Int_Tables_number 1
_symmetry_space_group_name_Hall 'P 1'
loop_
_atom_site_label
_atom_site_type_symbol
_atom_site_fract_x
_atom_site_fract_y
_atom_site_fract_z
_atom_site_occupancy
Sr1 Sr 0.000 0.000 0.000 1
H1 H 0.500 0.500 0.500 1
Se1 Se 0.000 0.500 0.000 1
Se2 Se 0.500 0.000 0.000 1
Br1 Br 0.000 0.000 0.500 1
```

***

# 4
Below is a relaxed TaHSe2Br crystal, with properties calculated at the PBE level.

Space group: No. 123
DOS(E_F) in states/eV per atom: 0.625
Size of the total moment in μB per cell: 1.99
Total energy in eV/atom: -3.977

Structure (CIF):
```
data_TaHSe2Br
_cell_length_a 4.107
_cell_length_b 4.107
_cell_length_c 5.039
_cell_angle_alpha 90.00
_cell_angle_beta 90.00
_cell_angle_gamma 90.00
_symmetry_space_group_name_H-M 'P 1'
_symmetry_Int_Tables_number 1
_symmetry_space_group_name_Hall 'P 1'
loop_
_atom_site_label
_atom_site_type_symbol
_atom_site_fract_x
_atom_site_fract_y
_atom_site_fract_z
_atom_site_occupancy
Ta1 Ta 0.000 0.000 0.000 1
H1 H 0.500 0.500 0.500 1
Se1 Se 0.000 0.500 0.500 1
Se2 Se 0.500 0.000 0.500 1
Br1 Br 0.500 0.500 0.000 1
```

***

# 5
Below is a relaxed Ta2HSeBr crystal, with properties calculated at the PBE level.

Space group: No. 123
DOS(E_F) in states/eV per atom: 0.668
Size of the total moment in μB per cell: 0.00
Total energy in eV/atom: -5.347

Structure (CIF):
```
data_Ta2HSeBr
_cell_length_a 5.008
_cell_length_b 5.008
_cell_length_c 3.225
_cell_angle_alpha 90.00
_cell_angle_beta 90.00
_cell_angle_gamma 90.00
_symmetry_space_group_name_H-M 'P 1'
_symmetry_Int_Tables_number 1
_symmetry_space_group_name_Hall 'P 1'
loop_
_atom_site_label
_atom_site_type_symbol
_atom_site_fract_x
_atom_site_fract_y
_atom_site_fract_z
_atom_site_occupancy
Ta1 Ta 0.000 0.500 0.000 1
Ta2 Ta 0.500 0.000 0.000 1
H1 H 0.000 0.000 0.500 1
Se1 Se 0.500 0.500 0.500 1
Br1 Br 0.000 0.000 0.000 1
```

***

# 6
Below is a relaxed TaHSe2Br crystal, with properties calculated at the PBE level.

Space group: No. 123
DOS(E_F) in states/eV per atom: 0.354
Size of the total moment in μB per cell: 1.01
Total energy in eV/atom: -4.640

Structure (CIF):
```
data_TaHSe2Br
_cell_length_a 4.986
_cell_length_b 4.986
_cell_length_c 5.304
_cell_angle_alpha 90.00
_cell_angle_beta 90.00
_cell_angle_gamma 90.00
_symmetry_space_group_name_H-M 'P 1'
_symmetry_Int_Tables_number 1
_symmetry_space_group_name_Hall 'P 1'
loop_
_atom_site_label
_atom_site_type_symbol
_atom_site_fract_x
_atom_site_fract_y
_atom_site_fract_z
_atom_site_occupancy
Ta1 Ta 0.000 0.000 0.000 1
H1 H 0.500 0.500 0.500 1
Se1 Se 0.000 0.500 0.000 1
Se2 Se 0.500 0.000 0.000 1
Br1 Br 0.000 0.000 0.500 1
```

***

# 7
Below is a relaxed TcHSeBr2 crystal, with properties calculated at the PBE level.

Space group: No. 123
DOS(E_F) in states/eV per atom: 0.582
Size of the total moment in μB per cell: 2.77
Total energy in eV/atom: -3.592

Structure (CIF):
```
data_TcHSeBr2
_cell_length_a 5.264
_cell_length_b 5.264
_cell_length_c 4.730
_cell_angle_alpha 90.00
_cell_angle_beta 90.00
_cell_angle_gamma 90.00
_symmetry_space_group_name_H-M 'P 1'
_symmetry_Int_Tables_number 1
_symmetry_space_group_name_Hall 'P 1'
loop_
_atom_site_label
_atom_site_type_symbol
_atom_site_fract_x
_atom_site_fract_y
_atom_site_fract_z
_atom_site_occupancy
Tc1 Tc 0.000 0.000 0.000 1
H1 H 0.500 0.500 0.500 1
Se1 Se 0.000 0.000 0.500 1
Br1 Br 0.000 0.500 0.000 1
Br2 Br 0.500 0.000 0.000 1
```

***

# 8
Below is a relaxed TcHSeBr2 crystal, with properties calculated at the PBE level.

Space group: No. 123
DOS(E_F) in states/eV per atom: 0.442
Size of the total moment in μB per cell: 3.81
Total energy in eV/atom: -3.232

Structure (CIF):
```
data_TcHSeBr2
_cell_length_a 5.358
_cell_length_b 5.358
_cell_length_c 3.496
_cell_angle_alpha 90.00
_cell_angle_beta 90.00
_cell_angle_gamma 90.00
_symmetry_space_group_name_H-M 'P 1'
_symmetry_Int_Tables_number 1
_symmetry_space_group_name_Hall 'P 1'
loop_
_atom_site_label
_atom_site_type_symbol
_atom_site_fract_x
_atom_site_fract_y
_atom_site_fract_z
_atom_site_occupancy
Tc1 Tc 0.000 0.000 0.000 1
H1 H 0.500 0.500 0.500 1
Se1 Se 0.500 0.500 0.000 1
Br1 Br 0.000 0.500 0.500 1
Br2 Br 0.500 0.000 0.500 1
```

***

# 9
Below is a relaxed TiHSeBr2 crystal, with properties calculated at the PBE level.

Space group: No. 123
DOS(E_F) in states/eV per atom: 0.193
Size of the total moment in μB per cell: 1.01
Total energy in eV/atom: -3.818

Structure (CIF):
```
data_TiHSeBr2
_cell_length_a 5.199
_cell_length_b 5.199
_cell_length_c 4.849
_cell_angle_alpha 90.00
_cell_angle_beta 90.00
_cell_angle_gamma 90.00
_symmetry_space_group_name_H-M 'P 1'
_symmetry_Int_Tables_number 1
_symmetry_space_group_name_Hall 'P 1'
loop_
_atom_site_label
_atom_site_type_symbol
_atom_site_fract_x
_atom_site_fract_y
_atom_site_fract_z
_atom_site_occupancy
Ti1 Ti 0.000 0.000 0.000 1
H1 H 0.500 0.500 0.500 1
Se1 Se 0.000 0.000 0.500 1
Br1 Br 0.000 0.500 0.000 1
Br2 Br 0.500 0.000 0.000 1
```

***

# 10
Below is a relaxed TiHSeBr2 crystal, with properties calculated at the PBE level.

Space group: No. 123
DOS(E_F) in states/eV per atom: 1.115
Size of the total moment in μB per cell: 0.01
Total energy in eV/atom: -3.263

Structure (CIF):
```
data_TiHSeBr2
_cell_length_a 5.116
_cell_length_b 5.116
_cell_length_c 3.530
_cell_angle_alpha 90.00
_cell_angle_beta 90.00
_cell_angle_gamma 90.00
_symmetry_space_group_name_H-M 'P 1'
_symmetry_Int_Tables_number 1
_symmetry_space_group_name_Hall 'P 1'
loop_
_atom_site_label
_atom_site_type_symbol
_atom_site_fract_x
_atom_site_fract_y
_atom_site_fract_z
_atom_site_occupancy
Ti1 Ti 0.000 0.000 0.000 1
H1 H 0.500 0.500 0.500 1
Se1 Se 0.500 0.500 0.000 1
Br1 Br 0.000 0.500 0.500 1
Br2 Br 0.500 0.000 0.500 1
```

***

# 11
Below is a relaxed TiHSe2Br crystal, with properties calculated at the PBE level.

Space group: No. 123
DOS(E_F) in states/eV per atom: 1.008
Size of the total moment in μB per cell: 1.82
Total energy in eV/atom: -3.742

Structure (CIF):
```
data_TiHSe2Br
_cell_length_a 4.032
_cell_length_b 4.032
_cell_length_c 5.618
_cell_angle_alpha 90.00
_cell_angle_beta 90.00
_cell_angle_gamma 90.00
_symmetry_space_group_name_H-M 'P 1'
_symmetry_Int_Tables_number 1
_symmetry_space_group_name_Hall 'P 1'
loop_
_atom_site_label
_atom_site_type_symbol
_atom_site_fract_x
_atom_site_fract_y
_atom_site_fract_z
_atom_site_occupancy
Ti1 Ti 0.000 0.000 0.000 1
H1 H 0.500 0.500 0.500 1
Se1 Se 0.000 0.500 0.500 1
Se2 Se 0.500 0.000 0.500 1
Br1 Br 0.500 0.500 0.000 1
```

***

# 12
Below is a relaxed TiHSe2Br crystal, with properties calculated at the PBE level.

Space group: No. 123
DOS(E_F) in states/eV per atom: 0.885
Size of the total moment in μB per cell: 0.87
Total energy in eV/atom: -4.014

Structure (CIF):
```
data_TiHSe2Br
_cell_length_a 4.897
_cell_length_b 4.897
_cell_length_c 5.269
_cell_angle_alpha 90.00
_cell_angle_beta 90.00
_cell_angle_gamma 90.00
_symmetry_space_group_name_H-M 'P 1'
_symmetry_Int_Tables_number 1
_symmetry_space_group_name_Hall 'P 1'
loop_
_atom_site_label
_atom_site_type_symbol
_atom_site_fract_x
_atom_site_fract_y
_atom_site_fract_z
_atom_site_occupancy
Ti1 Ti 0.000 0.000 0.000 1
H1 H 0.500 0.500 0.500 1
Se1 Se 0.000 0.500 0.000 1
Se2 Se 0.500 0.000 0.000 1
Br1 Br 0.000 0.000 0.500 1
```

***

# 13
Below is a relaxed TlHSeBr2 crystal, with properties calculated at the PBE level.

Space group: No. 123
DOS(E_F) in states/eV per atom: 0.701
Size of the total moment in μB per cell: 2.26
Total energy in eV/atom: -1.998

Structure (CIF):
```
data_TlHSeBr2
_cell_length_a 5.697
_cell_length_b 5.697
_cell_length_c 5.532
_cell_angle_alpha 90.00
_cell_angle_beta 90.00
_cell_angle_gamma 90.00
_symmetry_space_group_name_H-M 'P 1'
_symmetry_Int_Tables_number 1
_symmetry_space_group_name_Hall 'P 1'
loop_
_atom_site_label
_atom_site_type_symbol
_atom_site_fract_x
_atom_site_fract_y
_atom_site_fract_z
_atom_site_occupancy
Tl1 Tl 0.000 0.000 0.000 1
H1 H 0.500 0.500 0.500 1
Se1 Se 0.000 0.000 0.500 1
Br1 Br 0.000 0.500 0.000 1
Br2 Br 0.500 0.000 0.000 1
```

***

# 14
Below is a relaxed Tl2H2SeBr2 crystal, with properties calculated at the PBE level.

Space group: No. 12
DOS(E_F) in states/eV per atom: 0.098
Size of the total moment in μB per cell: 0.00
Total energy in eV/atom: -2.758

Structure (CIF):
```
data_Tl2H2SeBr2
_cell_length_a 6.622
_cell_length_b 6.622
_cell_length_c 8.614
_cell_angle_alpha 124.01
_cell_angle_beta 124.01
_cell_angle_gamma 35.35
_symmetry_space_group_name_H-M 'P 1'
_symmetry_Int_Tables_number 1
_symmetry_space_group_name_Hall 'P 1'
loop_
_atom_site_label
_atom_site_type_symbol
_atom_site_fract_x
_atom_site_fract_y
_atom_site_fract_z
_atom_site_occupancy
Tl1 Tl 0.017 0.017 0.299 1
Tl2 Tl 0.983 0.983 0.701 1
H1 H 0.343 0.343 0.848 1
H2 H 0.657 0.657 0.152 1
Se1 Se 0.500 0.500 0.000 1
Br1 Br 0.289 0.289 0.297 1
Br2 Br 0.711 0.711 0.703 1
```

***

# 15
Below is a relaxed TlHSeBr2 crystal, with properties calculated at the PBE level.

Space group: No. 123
DOS(E_F) in states/eV per atom: 0.829
Size of the total moment in μB per cell: 0.90
Total energy in eV/atom: -2.451

Structure (CIF):
```
data_TlHSeBr2
_cell_length_a 5.757
_cell_length_b 5.757
_cell_length_c 3.609
_cell_angle_alpha 90.00
_cell_angle_beta 90.00
_cell_angle_gamma 90.00
_symmetry_space_group_name_H-M 'P 1'
_symmetry_Int_Tables_number 1
_symmetry_space_group_name_Hall 'P 1'
loop_
_atom_site_label
_atom_site_type_symbol
_atom_site_fract_x
_atom_site_fract_y
_atom_site_fract_z
_atom_site_occupancy
Tl1 Tl 0.000 0.000 0.000 1
H1 H 0.500 0.500 0.500 1
Se1 Se 0.500 0.500 0.000 1
Br1 Br 0.000 0.500 0.500 1
Br2 Br 0.500 0.000 0.500 1
```

***

# 16
Below is a relaxed VHSe2Br crystal, with properties calculated at the PBE level.

Space group: No. 123
DOS(E_F) in states/eV per atom: 0.357
Size of the total moment in μB per cell: 0.97
Total energy in eV/atom: -3.970

Structure (CIF):
```
data_VHSe2Br
_cell_length_a 4.730
_cell_length_b 4.730
_cell_length_c 5.284
_cell_angle_alpha 90.00
_cell_angle_beta 90.00
_cell_angle_gamma 90.00
_symmetry_space_group_name_H-M 'P 1'
_symmetry_Int_Tables_number 1
_symmetry_space_group_name_Hall 'P 1'
loop_
_atom_site_label
_atom_site_type_symbol
_atom_site_fract_x
_atom_site_fract_y
_atom_site_fract_z
_atom_site_occupancy
V1 V 0.000 0.000 0.000 1
H1 H 0.500 0.500 0.500 1
Se1 Se 0.000 0.500 0.000 1
Se2 Se 0.500 0.000 0.000 1
Br1 Br 0.000 0.000 0.500 1
```

***

# 17
Below is a relaxed VHSe2Br crystal, with properties calculated at the PBE level.

Space group: No. 123
DOS(E_F) in states/eV per atom: 0.900
Size of the total moment in μB per cell: 3.16
Total energy in eV/atom: -3.797

Structure (CIF):
```
data_VHSe2Br
_cell_length_a 3.969
_cell_length_b 3.969
_cell_length_c 6.106
_cell_angle_alpha 90.00
_cell_angle_beta 90.00
_cell_angle_gamma 90.00
_symmetry_space_group_name_H-M 'P 1'
_symmetry_Int_Tables_number 1
_symmetry_space_group_name_Hall 'P 1'
loop_
_atom_site_label
_atom_site_type_symbol
_atom_site_fract_x
_atom_site_fract_y
_atom_site_fract_z
_atom_site_occupancy
V1 V 0.000 0.000 0.000 1
H1 H 0.500 0.500 0.500 1
Se1 Se 0.000 0.500 0.500 1
Se2 Se 0.500 0.000 0.500 1
Br1 Br 0.500 0.500 0.000 1
```

***

# 18
Below is a relaxed YHSe2Br crystal, with properties calculated at the PBE level.

Space group: No. 123
DOS(E_F) in states/eV per atom: 0.583
Size of the total moment in μB per cell: 0.00
Total energy in eV/atom: -4.097

Structure (CIF):
```
data_YHSe2Br
_cell_length_a 4.251
_cell_length_b 4.251
_cell_length_c 5.306
_cell_angle_alpha 90.00
_cell_angle_beta 90.00
_cell_angle_gamma 90.00
_symmetry_space_group_name_H-M 'P 1'
_symmetry_Int_Tables_number 1
_symmetry_space_group_name_Hall 'P 1'
loop_
_atom_site_label
_atom_site_type_symbol
_atom_site_fract_x
_atom_site_fract_y
_atom_site_fract_z
_atom_site_occupancy
Y1 Y 0.000 0.000 0.000 1
H1 H 0.500 0.500 0.500 1
Se1 Se 0.000 0.500 0.500 1
Se2 Se 0.500 0.000 0.500 1
Br1 Br 0.500 0.500 0.000 1
```

***

# 19
Below is a relaxed YH2SeBr crystal, with properties calculated at the PBE level.

Space group: No. 123
DOS(E_F) in states/eV per atom: 0.547
Size of the total moment in μB per cell: 0.00
Total energy in eV/atom: -3.990

Structure (CIF):
```
data_YH2SeBr
_cell_length_a 4.029
_cell_length_b 4.029
_cell_length_c 5.657
_cell_angle_alpha 90.00
_cell_angle_beta 90.00
_cell_angle_gamma 90.00
_symmetry_space_group_name_H-M 'P 1'
_symmetry_Int_Tables_number 1
_symmetry_space_group_name_Hall 'P 1'
loop_
_atom_site_label
_atom_site_type_symbol
_atom_site_fract_x
_atom_site_fract_y
_atom_site_fract_z
_atom_site_occupancy
Y1 Y 0.000 0.000 0.000 1
H1 H 0.000 0.500 0.500 1
H2 H 0.500 0.000 0.500 1
Se1 Se 0.000 0.000 0.500 1
Br1 Br 0.500 0.500 0.000 1
```

***

# 20
Below is a relaxed YHSe2Br crystal, with properties calculated at the PBE level.

Space group: No. 123
DOS(E_F) in states/eV per atom: 0.729
Size of the total moment in μB per cell: 2.74
Total energy in eV/atom: -3.888

Structure (CIF):
```
data_YHSe2Br
_cell_length_a 5.572
_cell_length_b 5.572
_cell_length_c 5.647
_cell_angle_alpha 90.00
_cell_angle_beta 90.00
_cell_angle_gamma 90.00
_symmetry_space_group_name_H-M 'P 1'
_symmetry_Int_Tables_number 1
_symmetry_space_group_name_Hall 'P 1'
loop_
_atom_site_label
_atom_site_type_symbol
_atom_site_fract_x
_atom_site_fract_y
_atom_site_fract_z
_atom_site_occupancy
Y1 Y 0.000 0.000 0.000 1
H1 H 0.500 0.500 0.500 1
Se1 Se 0.000 0.500 0.000 1
Se2 Se 0.500 0.000 0.000 1
Br1 Br 0.000 0.000 0.500 1
```